# NbS PBE relaxed
# N(E_F) (states/eV per atom): 0.686
# Electronic total energy (eV per atom): -7.345
data_NbS
_cell_length_a 6.7343
_cell_length_b 6.7343
_cell_length_c 6.7343
_cell_angle_alpha 90.00
_cell_angle_beta 90.00
_cell_angle_gamma 90.00
_space_group_name_H-M_alt 'P m -3 n'
_space_group_IT_number 223
_space_group_name_Hall '-P 4n 2 3'
loop_
_atom_site_label
_atom_site_fract_x
_atom_site_fract_y
_atom_site_fract_z
Nb1 0.0000 0.2500 0.5000
S1 0.0000 0.5000 0.2500


# NbS2 PBE relaxed
# N(E_F) (states/eV per atom): 0.475
# Electronic total energy (eV per atom): -6.941
data_NbS2
_cell_length_a 4.8921
_cell_length_b 4.8921
_cell_length_c 9.7998
_cell_angle_alpha 90.00
_cell_angle_beta 90.00
_cell_angle_gamma 90.00
_space_group_name_H-M_alt 'I 41/a m d'
_space_group_IT_number 141
loop_
_space_group_symop_operation_xyz
'x,y,z'
'-x,-y,-z'
'-y+1/4,x+3/4,z+1/4'
'y+1/4,-x+3/4,-z+1/4'
'-x+1/2,-y,z+1/2'
'x+1/2,y,-z+1/2'
'y+1/4,-x+1/4,z+3/4'
'-y+1/4,x+1/4,-z+3/4'
'x,-y,-z'
'-x,y,z'
'-y+1/4,-x+1/4,-z+3/4'
'y+1/4,x+1/4,z+3/4'
'-x+1/2,y,-z+1/2'
'x+1/2,-y,z+1/2'
'y+1/4,x+3/4,-z+1/4'
'-y+1/4,-x+3/4,z+1/4'
'x+1/2,y+1/2,z+1/2'
'-x+1/2,-y+1/2,-z+1/2'
'-y+3/4,x+1/4,z+3/4'
'y+3/4,-x+1/4,-z+3/4'
'-x,-y+1/2,z'
'x,y+1/2,-z'
'y+3/4,-x+3/4,z+1/4'
'-y+3/4,x+3/4,-z+1/4'
'x+1/2,-y+1/2,-z+1/2'
'-x+1/2,y+1/2,z+1/2'
'-y+3/4,-x+3/4,-z+1/4'
'y+3/4,x+3/4,z+1/4'
'-x,y+1/2,-z'
'x,-y+1/2,z'
'y+3/4,x+1/4,-z+3/4'
'-y+3/4,-x+1/4,z+3/4'
loop_
_atom_site_label
_atom_site_fract_x
_atom_site_fract_y
_atom_site_fract_z
Nb1 0.0000 0.2500 0.3750
S1 0.0000 0.2500 0.1176


# NbS2 PBE relaxed
# N(E_F) (states/eV per atom): 1.121
# Electronic total energy (eV per atom): -7.135
data_NbS2
_cell_length_a 3.3552
_cell_length_b 13.4805
_cell_length_c 5.8030
_cell_angle_alpha 90.00
_cell_angle_beta 90.00
_cell_angle_gamma 90.00
_space_group_name_H-M_alt 'F m m 2'
_space_group_IT_number 42
_space_group_name_Hall 'F 2 -2'
loop_
_atom_site_label
_atom_site_fract_x
_atom_site_fract_y
_atom_site_fract_z
Nb1 0.0000 0.0000 0.0000
S1 0.0000 0.1165 0.3337


# NbS PBE relaxed
# N(E_F) (states/eV per atom): 0.562
# Electronic total energy (eV per atom): -7.693
data_NbS
_cell_length_a 11.2422
_cell_length_b 11.2422
_cell_length_c 3.4326
_cell_angle_alpha 90.00
_cell_angle_beta 90.00
_cell_angle_gamma 90.00
_space_group_name_H-M_alt 'P 4/m'
_space_group_IT_number 83
loop_
_space_group_symop_operation_xyz
'x,y,z'
'-x,-y,-z'
'-y,x,z'
'y,-x,-z'
'-x,-y,z'
'x,y,-z'
'y,-x,z'
'-y,x,-z'
loop_
_atom_site_label
_atom_site_fract_x
_atom_site_fract_y
_atom_site_fract_z
Nb1 0.0539 0.2577 0.0000
Nb2 0.0858 0.6103 0.5000
S1 0.1359 0.3931 0.5000
S2 0.1666 0.7406 0.0000


Question: Look up the electronic total energy of the second one.
Answer: -6.941 eV per atom


Question: Among the records above, which one has the highest N(E_F)?
Answer: number 3


Question: Number 3 is which compound?
Answer: NbS2


Question: The highest N(E_F) belongs to which entry?
Answer: number 3